# 1
Compound: Sm3Bi2Te
Source: Alexandria
Functional: PBE
Structure: relaxed

Geometry as CIF:
```
data_Sm3Bi2Te
_chemical_formula_sum 'Sm3 Bi2 Te1'
_cell_length_a 7.8155
_cell_length_b 7.8155
_cell_length_c 7.8155
_cell_angle_alpha 146.26
_cell_angle_beta 131.64
_cell_angle_gamma 60.26
_symmetry_space_group_name_H-M 'P 1'
_symmetry_Int_Tables_number 1
_symmetry_space_group_name_Hall 'P 1'
loop_
_atom_site_label
_atom_site_type_symbol
_atom_site_fract_x
_atom_site_fract_y
_atom_site_fract_z
_atom_site_occupancy
Sm1 Sm 0.0000 0.0000 0.0000 1
Sm2 Sm 0.3324 0.3324 0.0000 1
Sm3 Sm 0.6676 0.6676 0.0000 1
Bi1 Bi 0.1666 0.6666 0.5000 1
Bi2 Bi 0.8334 0.3334 0.5000 1
Te1 Te 0.5000 0.0000 0.5000 1
```

Computed properties:
**E above lowest polymorph**: 0.2 kJ per mole of atoms
**Raw formation energy**: -1.103 eV per atom
**Total DFT energy (no corrections)**: -5.280 eV per atom
**Size of the total moment**: 0.00 μB/f.u.


# 2
Compound: Sm8Bi2Te
Source: Alexandria
Functional: PBE
Structure: relaxed

Geometry as CIF:
```
data_Sm8Bi2Te
_chemical_formula_sum 'Sm8 Bi2 Te1'
_cell_length_a 9.6630
_cell_length_b 9.6630
_cell_length_c 8.1620
_cell_angle_alpha 91.75
_cell_angle_beta 91.75
_cell_angle_gamma 27.95
_symmetry_space_group_name_H-M 'P 1'
_symmetry_Int_Tables_number 1
_symmetry_space_group_name_Hall 'P 1'
loop_
_atom_site_label
_atom_site_type_symbol
_atom_site_fract_x
_atom_site_fract_y
_atom_site_fract_z
_atom_site_occupancy
Sm1 Sm 0.0056 0.0056 0.2546 1
Sm2 Sm 0.2142 0.2142 0.3647 1
Sm3 Sm 0.3364 0.3364 0.9521 1
Sm4 Sm 0.4027 0.4027 0.4819 1
Sm5 Sm 0.5973 0.5973 0.5181 1
Sm6 Sm 0.6636 0.6636 0.0479 1
Sm7 Sm 0.7858 0.7858 0.6353 1
Sm8 Sm 0.9944 0.9944 0.7454 1
Bi1 Bi 0.1736 0.1736 0.7722 1
Bi2 Bi 0.8264 0.8264 0.2278 1
Te1 Te 0.5000 0.5000 0.0000 1
```

Computed properties:
**Raw formation energy**: -0.501 eV per atom
**Total DFT energy (no corrections)**: -4.924 eV per atom
**Size of the total moment**: 0.00 μB/f.u.


# 3
Compound: Sm4BiTe2
Source: Alexandria
Functional: PBE
Structure: relaxed

Geometry as CIF:
```
data_Sm4BiTe2
_chemical_formula_sum 'Sm8 Bi2 Te4'
_cell_length_a 7.4604
_cell_length_b 7.4604
_cell_length_c 14.8231
_cell_angle_alpha 90.00
_cell_angle_beta 90.00
_cell_angle_gamma 146.18
_symmetry_space_group_name_H-M 'P 1'
_symmetry_Int_Tables_number 1
_symmetry_space_group_name_Hall 'P 1'
loop_
_atom_site_label
_atom_site_type_symbol
_atom_site_fract_x
_atom_site_fract_y
_atom_site_fract_z
_atom_site_occupancy
Sm1 Sm 0.0000 0.0000 0.0000 1
Sm2 Sm 0.0000 0.0000 0.5000 1
Sm3 Sm 0.2803 0.7197 0.6289 1
Sm4 Sm 0.2803 0.7197 0.8711 1
Sm5 Sm 0.4350 0.5650 0.2500 1
Sm6 Sm 0.5650 0.4350 0.7500 1
Sm7 Sm 0.7197 0.2803 0.1289 1
Sm8 Sm 0.7197 0.2803 0.3711 1
Bi1 Bi 0.0974 0.9026 0.2500 1
Bi2 Bi 0.9026 0.0974 0.7500 1
Te1 Te 0.3586 0.6414 0.0607 1
Te2 Te 0.3586 0.6414 0.4393 1
Te3 Te 0.6414 0.3586 0.5607 1
Te4 Te 0.6414 0.3586 0.9393 1
```

Computed properties:
**Raw formation energy**: -0.999 eV per atom
**Total DFT energy (no corrections)**: -5.147 eV per atom
**Size of the total moment**: 0.00 μB/f.u.


# 4
Compound: Sm8Bi5Te
Source: Alexandria
Functional: PBE
Structure: relaxed

Geometry as CIF:
```
data_Sm8Bi5Te
_chemical_formula_sum 'Sm8 Bi5 Te1'
_cell_length_a 8.2625
_cell_length_b 8.2625
_cell_length_c 8.2625
_cell_angle_alpha 109.62
_cell_angle_beta 109.62
_cell_angle_gamma 109.18
_symmetry_space_group_name_H-M 'P 1'
_symmetry_Int_Tables_number 1
_symmetry_space_group_name_Hall 'P 1'
loop_
_atom_site_label
_atom_site_type_symbol
_atom_site_fract_x
_atom_site_fract_y
_atom_site_fract_z
_atom_site_occupancy
Sm1 Sm 0.1241 0.2301 0.7494 1
Sm2 Sm 0.1238 0.7333 0.7542 1
Sm3 Sm 0.2667 0.0209 0.3905 1
Sm4 Sm 0.4807 0.3747 0.2506 1
Sm5 Sm 0.6253 0.8759 0.1060 1
Sm6 Sm 0.6304 0.8762 0.6095 1
Sm7 Sm 0.7699 0.5193 0.8940 1
Sm8 Sm 0.9791 0.3696 0.2458 1
Bi1 Bi 0.2521 0.6262 0.1278 1
Bi2 Bi 0.3738 0.5015 0.6258 1
Bi3 Bi 0.4985 0.1243 0.8722 1
Bi4 Bi 0.7500 0.2500 0.5000 1
Bi5 Bi 0.8757 0.7479 0.3742 1
Te1 Te 0.0000 0.0000 0.0000 1
```

Computed properties:
**Raw formation energy**: -0.864 eV per atom
**Total DFT energy (no corrections)**: -5.172 eV per atom
**Size of the total moment**: 0.01 μB/f.u.


# 5
Compound: SmBiTe
Source: Alexandria
Functional: PBE
Structure: relaxed

Geometry as CIF:
```
data_SmBiTe
_chemical_formula_sum 'Sm2 Bi2 Te2'
_cell_length_a 10.0456
_cell_length_b 10.0456
_cell_length_c 10.0456
_cell_angle_alpha 154.48
_cell_angle_beta 154.48
_cell_angle_gamma 36.41
_symmetry_space_group_name_H-M 'P 1'
_symmetry_Int_Tables_number 1
_symmetry_space_group_name_Hall 'P 1'
loop_
_atom_site_label
_atom_site_type_symbol
_atom_site_fract_x
_atom_site_fract_y
_atom_site_fract_z
_atom_site_occupancy
Sm1 Sm 0.1430 0.1430 0.0000 1
Sm2 Sm 0.8570 0.8570 0.0000 1
Bi1 Bi 0.0000 0.5000 0.5000 1
Bi2 Bi 0.5000 0.0000 0.5000 1
Te1 Te 0.3124 0.3124 0.0000 1
Te2 Te 0.6876 0.6876 0.0000 1
```

Computed properties:
**Raw formation energy**: -1.041 eV per atom
**Total DFT energy (no corrections)**: -4.955 eV per atom
**Size of the total moment**: 0.00 μB/f.u.


# 6
Compound: Sm5Bi2Te2
Source: Alexandria
Functional: PBE
Structure: relaxed

Geometry as CIF:
```
data_Sm5Bi2Te2
_chemical_formula_sum 'Sm10 Bi4 Te4'
_cell_length_a 8.9558
_cell_length_b 8.9558
_cell_length_c 8.3539
_cell_angle_alpha 90.00
_cell_angle_beta 90.00
_cell_angle_gamma 55.40
_symmetry_space_group_name_H-M 'P 1'
_symmetry_Int_Tables_number 1
_symmetry_space_group_name_Hall 'P 1'
loop_
_atom_site_label
_atom_site_type_symbol
_atom_site_fract_x
_atom_site_fract_y
_atom_site_fract_z
_atom_site_occupancy
Sm1 Sm 0.0000 0.0000 0.0000 1
Sm2 Sm 0.0208 0.7021 0.6573 1
Sm3 Sm 0.2021 0.5208 0.1573 1
Sm4 Sm 0.2979 0.9792 0.6573 1
Sm5 Sm 0.4792 0.7979 0.1573 1
Sm6 Sm 0.5000 0.5000 0.5000 1
Sm7 Sm 0.5208 0.2021 0.8427 1
Sm8 Sm 0.7021 0.0208 0.3427 1
Sm9 Sm 0.7979 0.4792 0.8427 1
Sm10 Sm 0.9792 0.2979 0.3427 1
Bi1 Bi 0.1440 0.8560 0.3567 1
Bi2 Bi 0.3560 0.6440 0.8567 1
Bi3 Bi 0.6440 0.3560 0.1433 1
Bi4 Bi 0.8560 0.1440 0.6433 1
Te1 Te 0.1976 0.1976 0.0000 1
Te2 Te 0.3024 0.3024 0.5000 1
Te3 Te 0.6976 0.6976 0.5000 1
Te4 Te 0.8024 0.8024 0.0000 1
```

Computed properties:
**E above lowest polymorph**: 0.0 kJ per mole of atoms
**Raw formation energy**: -1.009 eV per atom
**Total DFT energy (no corrections)**: -5.192 eV per atom
**Size of the total moment**: 0.00 μB/f.u.


# 7
Compound: Sm2BiTe4
Source: Alexandria
Functional: PBE
Structure: relaxed

Geometry as CIF:
```
data_Sm2BiTe4
_chemical_formula_sum 'Sm2 Bi1 Te4'
_cell_length_a 8.7472
_cell_length_b 8.7472
_cell_length_c 7.8120
_cell_angle_alpha 115.49
_cell_angle_beta 115.49
_cell_angle_gamma 28.83
_symmetry_space_group_name_H-M 'P 1'
_symmetry_Int_Tables_number 1
_symmetry_space_group_name_Hall 'P 1'
loop_
_atom_site_label
_atom_site_type_symbol
_atom_site_fract_x
_atom_site_fract_y
_atom_site_fract_z
_atom_site_occupancy
Sm1 Sm 0.2406 0.2406 0.2224 1
Sm2 Sm 0.7594 0.7594 0.7776 1
Bi1 Bi 0.5000 0.5000 0.5000 1
Te1 Te 0.1359 0.1359 0.4727 1
Te2 Te 0.3779 0.3779 0.0510 1
Te3 Te 0.6221 0.6221 0.9490 1
Te4 Te 0.8641 0.8641 0.5273 1
```

Computed properties:
**Raw formation energy**: -0.964 eV per atom
**Total DFT energy (no corrections)**: -4.662 eV per atom
**Size of the total moment**: 0.00 μB/f.u.


# 8
Compound: Sm5BiTe4
Source: Alexandria
Functional: PBE
Structure: relaxed

Geometry as CIF:
```
data_Sm5BiTe4
_chemical_formula_sum 'Sm5 Bi1 Te4'
_cell_length_a 7.7767
_cell_length_b 7.7767
_cell_length_c 10.9226
_cell_angle_alpha 118.23
_cell_angle_beta 118.23
_cell_angle_gamma 33.27
_symmetry_space_group_name_H-M 'P 1'
_symmetry_Int_Tables_number 1
_symmetry_space_group_name_Hall 'P 1'
loop_
_atom_site_label
_atom_site_type_symbol
_atom_site_fract_x
_atom_site_fract_y
_atom_site_fract_z
_atom_site_occupancy
Sm1 Sm 0.0000 0.0000 0.0000 1
Sm2 Sm 0.1996 0.1996 0.8024 1
Sm3 Sm 0.3997 0.3997 0.6011 1
Sm4 Sm 0.6003 0.6003 0.3989 1
Sm5 Sm 0.8004 0.8004 0.1976 1
Bi1 Bi 0.0000 0.0000 0.5000 1
Te1 Te 0.2010 0.2010 0.2988 1
Te2 Te 0.4011 0.4011 0.1001 1
Te3 Te 0.5989 0.5989 0.8999 1
Te4 Te 0.7990 0.7990 0.7012 1
```

Computed properties:
**E above lowest polymorph**: 0.0 kJ per mole of atoms
**Raw formation energy**: -1.304 eV per atom
**Total DFT energy (no corrections)**: -5.308 eV per atom
**Size of the total moment**: 0.00 μB/f.u.


The highest raw formation energy belongs to which entry?
Sm8Bi2Te


Which formula does entry 3 have?
Sm4BiTe2


Which value of total DFT energy (no corrections) does entry 5 give?
-4.955 eV per atom